The following is a DFT calculation (PBE) of an optimized crystal structure of Ce3Tm4Sn4.

a b c (Å): 4.516 7.743 9.902
angles (deg): 90.00 90.00 106.96
Element x y z (fractional)
Ce: 0.387 0.774 0.272
Ce: 0.387 0.774 0.728
Ce: 0.282 0.564 0.000
Tm: 0.621 0.242 0.500
Tm: 0.581 0.161 0.000
Tm: 0.087 0.174 0.755
Tm: 0.087 0.174 0.245
Sn: 0.729 0.458 0.771
Sn: 0.729 0.458 0.229
Sn: 0.966 0.931 0.500
Sn: 0.942 0.885 0.000

Computed properties:
Space group: No. 38
N(E_F): 2.222 states/eV per atom

---

The following is a DFT calculation (PBE) of an optimized crystal structure of CeYTmSn.

a b c (Å): 5.360 5.360 5.360
angles (deg): 60.00 60.00 60.00
Element x y z (fractional)
Y: 0.750 0.750 0.750
Tm: 0.250 0.250 0.250
Sn: 0.500 0.500 0.500
Ce: 0.000 0.000 0.000

Computed properties:
Space group: No. 216
N(E_F): 2.109 states/eV per atom

---

no.,magnetization (μB per formula unit),formation energy from the elements (kcal/mol of atoms),total energy (eV per formula unit)
1,4.6,-9.39,-56.18
2,1.4,-4.19,-21.60